Entry 1:
Density functional theory data (PBEsol) for an optimized crystal structure of NaCoO2F.

abc: 3.978 3.978 3.863
angles: 90.00 90.00 90.00
Fractional positions:
1 Na 0.000 0.000 0.000
2 Co 0.500 0.500 0.500
3 O 0.000 0.500 0.000
4 O 0.500 0.000 0.000
5 F 0.000 0.000 0.500

Computed properties:
Density: 3.6 Mg/m³
E_form (uncorrected): 0.3247 eV per atom
Size of the total moment: 5.0 μB per cell


Entry 2:
Density functional theory data (PBEsol) for an optimized crystal structure of NaZr2CoF11.

abc: 5.641 5.641 7.760
angles: 110.83 110.83 72.67
Fractional positions:
1 Na 0.000 0.000 0.000
2 Zr 0.492 0.492 0.763
3 Zr 0.508 0.508 0.237
4 Co 0.000 0.000 0.500
5 F 0.184 0.778 0.687
6 F 0.222 0.816 0.313
7 F 0.243 0.243 0.649
8 F 0.269 0.269 0.110
9 F 0.328 0.672 0.000
10 F 0.500 0.500 0.500
11 F 0.672 0.328 0.000
12 F 0.731 0.731 0.890
13 F 0.757 0.757 0.351
14 F 0.778 0.184 0.687
15 F 0.816 0.222 0.313

Computed properties:
Density: 3.7 Mg/m³
E_form (uncorrected): -3.2283 eV per atom
Size of the total moment: 3.0 μB per cell


Entry 3:
Density functional theory data (PBEsol) for an optimized crystal structure of NaZrCo2F.

abc: 4.261 4.261 4.218
angles: 90.00 90.00 90.00
Fractional positions:
1 Na 0.000 0.000 0.000
2 Zr 0.500 0.500 0.000
3 Co 0.000 0.500 0.500
4 Co 0.500 0.000 0.500
5 F 0.500 0.500 0.500

Computed properties:
Density: 5.4 Mg/m³
E_form (uncorrected): 0.3435 eV per atom
Size of the total moment: 2.4 μB per cell